(1)
The following is a DFT calculation (PBE) of a geometry-optimized NdGa2Ni2P structure.

Computed properties:
N(E_F), states/eV/cell: 2.81
Theoretical density, g/cm³: 6.979
Total magnetic moment, μB/f.u.: 0.00
Formation enthalpy at 0 K, meV per atom: -543

POSCAR file:
```
NdGa2Ni2P
1.0
-3.857 1.882 -0.117
-0.125 -0.523 -4.260
-2.444 -4.966 0.681
Ni Nd Ga P
2 1 2 1
Direct
0.500 0.000 0.000 Ni
0.000 0.500 0.000 Ni
0.000 0.000 0.500 Nd
0.500 0.500 0.734 Ga
0.500 0.500 0.266 Ga
0.000 0.000 0.000 P
```

---

(2)
The following is a DFT calculation (PBE) of a geometry-optimized Ba3CrCu structure.

Computed properties:
N(E_F), states/eV/cell: 3.79
Theoretical density, g/cm³: 3.704
Total magnetic moment, μB/f.u.: 4.81
Formation enthalpy at 0 K, meV per atom: 491

POSCAR file:
```
Ba3CrCu
1.0
-4.505 -3.363 2.575
3.258 -5.154 -1.032
2.707 0.605 5.527
Cu Ba Cr
1 3 1
Direct
0.000 0.000 0.000 Cu
0.000 0.500 0.000 Ba
0.000 0.000 0.500 Ba
0.500 0.000 0.000 Ba
0.500 0.500 0.500 Cr
```

---

(3)
The following is a DFT calculation (PBE) of a geometry-optimized AcCeCd4 structure.

Computed properties:
N(E_F), states/eV/cell: 9.44
Theoretical density, g/cm³: 8.211
Total magnetic moment, μB/f.u.: 1.32
Formation enthalpy at 0 K, meV per atom: -273

POSCAR file:
```
AcCeCd4
1.0
-4.221 -1.597 2.432
-3.710 -3.706 -3.469
0.327 -5.924 2.081
Cd Ac Ce
4 1 1
Direct
0.666 0.569 0.599 Cd
0.334 0.431 0.401 Cd
0.666 0.098 0.069 Cd
0.334 0.902 0.931 Cd
0.000 0.000 0.500 Ac
0.000 0.500 0.000 Ce
```

---

(4)
The following is a DFT calculation (PBE) of a geometry-optimized NbTl2I structure.

Computed properties:
N(E_F), states/eV/cell: 6.21
Theoretical density, g/cm³: 8.548
Total magnetic moment, μB/f.u.: 3.94
Energy, eV per atom: -3.182

POSCAR file:
```
NbTl2I
1.0
0.000 3.938 3.938
3.938 0.000 3.938
3.938 3.938 0.000
Nb Tl I
1 2 1
Direct
0.000 0.000 0.000 Nb
0.250 0.250 0.250 Tl
0.750 0.750 0.750 Tl
0.500 0.500 0.500 I
```